The following is a DFT calculation (GGA-PBE) of a relaxed Ho2Ga8Ni crystal.

Structure (CIF):
```
data_Ho2Ga8Ni
_cell_length_a 4.2514
_cell_length_b 4.2514
_cell_length_c 11.0281
_cell_angle_alpha 90.00
_cell_angle_beta 90.00
_cell_angle_gamma 90.00
_space_group_name_H-M_alt 'P 4/m m m'
_space_group_IT_number 123
_space_group_name_Hall '-P 4 2'
loop_
_atom_site_label
_atom_site_type_symbol
_atom_site_fract_x
_atom_site_fract_y
_atom_site_fract_z
Ho1 Ho 0.0000 0.0000 0.1932
Ga1 Ga 0.0000 0.5000 0.0000
Ga2 Ga 0.0000 0.5000 0.3806
Ga3 Ga 0.5000 0.5000 0.1959
Ni1 Ni 0.0000 0.0000 0.5000
```

Results
Mass density: 7.88 Mg/m³
D(E_F): 0.464 states/eV/atom
Size of the total moment: 0.0 Bohr magnetons per cell
Energy relative to the elements: -0.487 eV/atom
Uncorrected energy: -44.51 eV/cell

The following is a DFT calculation (GGA-PBE) of a relaxed Ho3Ga2Ni6 crystal.

Structure (CIF):
```
data_Ho3Ga2Ni6
_cell_length_a 8.8779
_cell_length_b 8.8779
_cell_length_c 8.8779
_cell_angle_alpha 90.00
_cell_angle_beta 90.00
_cell_angle_gamma 90.00
_space_group_name_H-M_alt 'I m -3 m'
_space_group_IT_number 229
_space_group_name_Hall '-I 4 2 3'
loop_
_atom_site_label
_atom_site_type_symbol
_atom_site_fract_x
_atom_site_fract_y
_atom_site_fract_z
Ho1 Ho 0.0000 0.0000 0.2913
Ga1 Ga 0.2500 0.2500 0.2500
Ni1 Ni 0.0000 0.3369 0.3369
```

Results
Mass density: 9.36 Mg/m³
D(E_F): 0.641 states/eV/atom
Size of the total moment: 0.0 Bohr magnetons per cell
Energy relative to the elements: -0.564 eV/atom
Uncorrected energy: -242.72 eV/cell

The following is a DFT calculation (GGA-PBE) of a relaxed Ho6GaNi2 crystal.

Structure (CIF):
```
data_Ho6GaNi2
_cell_length_a 9.2066
_cell_length_b 9.5319
_cell_length_c 9.9213
_cell_angle_alpha 90.00
_cell_angle_beta 90.00
_cell_angle_gamma 90.00
_space_group_name_H-M_alt 'I m m m'
_space_group_IT_number 71
_space_group_name_Hall '-I 2 2'
loop_
_atom_site_label
_atom_site_type_symbol
_atom_site_fract_x
_atom_site_fract_y
_atom_site_fract_z
Ho1 Ho 0.0000 0.1952 0.2366
Ho2 Ho 0.1930 0.5000 0.1736
Ho3 Ho 0.2159 0.3195 0.5000
Ga1 Ga 0.0000 0.0000 0.0000
Ga2 Ga 0.0000 0.0000 0.5000
Ni1 Ni 0.0000 0.3474 0.0000
Ni2 Ni 0.0000 0.5000 0.3785
```

Results
Mass density: 8.98 Mg/m³
D(E_F): 0.943 states/eV/atom
Size of the total moment: 0.0 Bohr magnetons per cell
Energy relative to the elements: -0.375 eV/atom
Uncorrected energy: -181.73 eV/cell